1.
LiPr2Au2: optimized geometry, PBE. Values from VASP.

```
&SYSTEM
  ibrav = 0, nat = 10, ntyp = 3
/
ATOMIC_SPECIES
Li 6.94 Li.upf
Pr 140.91 Pr.upf
Au 196.97 Au.upf
CELL_PARAMETERS angstrom
-3.7358 6.0026 2.9848
3.7358 -6.0026 2.9848
3.7358 6.0026 -2.9848
ATOMIC_POSITIONS angstrom
Li 0.0000 0.0000 1.4924
Li 0.0000 0.0000 4.4772
Pr 5.0203 1.8540 0.0000
Pr 1.2845 4.1486 0.0000
Pr 2.4512 1.8540 2.9848
Pr -1.2845 4.1486 2.9848
Au 1.9543 1.2154 0.0000
Au 1.9543 -1.2154 2.9848
Au 1.7815 7.2180 0.0000
Au 1.7815 4.7872 2.9848
```

Output
ΔH_f (0 K) (eV/atom): -0.548

=====

2.
Na2GaSi4Pt3: optimized geometry, PBE. Values from VASP.

```
&SYSTEM
  ibrav = 0, nat = 10, ntyp = 4
/
ATOMIC_SPECIES
Na 22.99 Na.upf
Ga 69.72 Ga.upf
Si 28.09 Si.upf
Pt 195.08 Pt.upf
CELL_PARAMETERS angstrom
4.1722 0.0000 0.0000
0.0000 4.1722 0.0000
0.0000 0.0000 10.1727
ATOMIC_POSITIONS angstrom
Na 0.0000 2.0861 2.5299
Na 2.0861 0.0000 7.6428
Ga 0.0000 0.0000 5.0863
Si 0.0000 0.0000 0.0000
Si 0.0000 2.0861 6.4979
Si 2.0861 0.0000 3.6748
Si 2.0861 2.0861 0.0000
Pt 0.0000 2.0861 8.9083
Pt 2.0861 0.0000 1.2643
Pt 2.0861 2.0861 5.0863
```

Output
Uncorrected formation energy (eV per atom): -0.47

=====

3.
TbPm2AlC: optimized geometry, PBE. Values from VASP.

```
&SYSTEM
  ibrav = 0, nat = 5, ntyp = 4
/
ATOMIC_SPECIES
Tb 158.93 Tb.upf
Pm 145.00 Pm.upf
Al 26.98 Al.upf
C 12.01 C.upf
CELL_PARAMETERS angstrom
5.0494 0.0000 0.0000
0.0000 5.0494 0.0000
0.0000 0.0000 4.9183
ATOMIC_POSITIONS angstrom
Tb 0.0000 0.0000 0.0000
Pm 0.0000 2.5247 2.4591
Pm 2.5247 0.0000 2.4591
Al 2.5247 2.5247 0.0000
C 0.0000 0.0000 2.4591
```

Output
ΔH_f (0 K) (eV/atom): -0.270

=====

4.
CrTcHg2W: optimized geometry, PBE. Values from VASP.

```
&SYSTEM
  ibrav = 0, nat = 5, ntyp = 4
/
ATOMIC_SPECIES
Cr 52.00 Cr.upf
Tc 98.00 Tc.upf
Hg 200.59 Hg.upf
W 183.84 W.upf
CELL_PARAMETERS angstrom
4.9857 0.0000 0.0000
0.0000 4.9857 0.0000
0.0000 0.0000 4.4047
ATOMIC_POSITIONS angstrom
Cr 0.0000 0.0000 0.0000
Tc 2.4928 2.4928 2.2023
Hg 0.0000 2.4928 0.0000
Hg 2.4928 0.0000 0.0000
W 0.0000 0.0000 2.2023
```

Output
ΔH_f (0 K) (eV/atom): 1.720